DFT (PBEsol) results for crystalline LiZn at its relaxed geometry.

Lattice parameters (Å, degrees): 2.6942 2.6942 3.9494 90.00 90.00 90.00
With the nearest neighbours (Å) after each atom.
Fractional positions:
Li (0.0000, 0.0000, 0.0000)  4 Li 2.69, 8 Zn 2.74
Zn (0.5000, 0.5000, 0.5000)  4 Zn 2.69, 8 Li 2.74

Output
SG = P4/mmm (123)
ΔE_f = -0.13 eV per atom
N(E_F) = 0.7 states/eV/cell
Final energy = -1.905 eV per atom

***

DFT (PBEsol) results for crystalline LiZn2 at its relaxed geometry.

Lattice parameters (Å, degrees): 11.5522 11.5522 11.5522 160.80 160.80 27.29
With the nearest neighbours (Å) after each atom.
Fractional positions:
Li (0.2928, 0.5428, 0.7500)  10 Zn 2.63-2.73, 2 Li 2.72
Li (0.4572, 0.7072, 0.7500)  10 Zn 2.63-2.73, 2 Li 2.72
Li (0.5428, 0.2928, 0.2500)  10 Zn 2.63-2.73, 2 Li 2.72
Li (0.7072, 0.4572, 0.2500)  10 Zn 2.63-2.73, 2 Li 2.72
Zn (0.0421, 0.7921, 0.2500)  6 Zn 2.64-2.72, 6 Li 2.71-2.73
Zn (0.1274, 0.3774, 0.7500)  4 Li 2.63-2.71, 8 Zn 2.64-2.73
Zn (0.2079, 0.9579, 0.2500)  6 Zn 2.64-2.72, 6 Li 2.71-2.73
Zn (0.3774, 0.1274, 0.2500)  4 Li 2.63-2.71, 8 Zn 2.64-2.73
Zn (0.6226, 0.8726, 0.7500)  4 Li 2.63-2.71, 8 Zn 2.64-2.73
Zn (0.7921, 0.0421, 0.7500)  6 Zn 2.64-2.72, 6 Li 2.71-2.73
Zn (0.8726, 0.6226, 0.2500)  4 Li 2.63-2.71, 8 Zn 2.64-2.73
Zn (0.9579, 0.2079, 0.7500)  6 Zn 2.64-2.72, 6 Li 2.71-2.73

Output
SG = I4_1/amd (141)
ΔE_f = -0.14 eV per atom
N(E_F) = 3.5 states/eV/cell
Final energy = -1.853 eV per atom

***

DFT (PBEsol) results for crystalline LiZn at its relaxed geometry.

Lattice parameters (Å, degrees): 2.9085 2.9085 7.0283 90.00 90.00 90.00
With the nearest neighbours (Å) after each atom.
Fractional positions:
Li (0.2500, 0.2500, 0.1472)  4 Zn 2.64, 8 Li 2.91-2.92
Li (0.7500, 0.7500, 0.8528)  4 Zn 2.64, 8 Li 2.91-2.92
Zn (0.2500, 0.2500, 0.6168)  8 Zn 2.63-2.91, 4 Li 2.64
Zn (0.7500, 0.7500, 0.3832)  8 Zn 2.63-2.91, 4 Li 2.64

Output
SG = P4/nmm (129)
ΔE_f = -0.12 eV per atom
N(E_F) = 1.0 states/eV/cell
Final energy = -1.892 eV per atom

***

DFT (PBEsol) results for crystalline Li5Zn3 at its relaxed geometry.

Lattice parameters (Å, degrees): 7.7448 7.7448 4.8770 90.00 90.00 120.00
With the nearest neighbours (Å) after each atom.
Fractional positions:
Li (0.0000, 0.2402, 0.2500)  5 Zn 2.68-2.79
Li (0.0000, 0.7598, 0.7500)  5 Zn 2.68-2.79
Li (0.2402, 0.0000, 0.2500)  5 Zn 2.68-2.79
Li (0.2402, 0.2402, 0.7500)  5 Zn 2.68-2.79
Li (0.3333, 0.6667, 0.0000)  2 Li 2.44, 6 Zn 2.63
Li (0.3333, 0.6667, 0.5000)  2 Li 2.44, 6 Zn 2.63
Li (0.6667, 0.3333, 0.0000)  2 Li 2.44, 6 Zn 2.63
Li (0.6667, 0.3333, 0.5000)  2 Li 2.44, 6 Zn 2.63
Li (0.7598, 0.0000, 0.7500)  5 Zn 2.68-2.79
Li (0.7598, 0.7598, 0.2500)  5 Zn 2.68-2.79
Zn (0.0000, 0.4137, 0.7500)  9 Li 2.63-2.79, 2 Zn 2.78
Zn (0.0000, 0.5863, 0.2500)  9 Li 2.63-2.79, 2 Zn 2.78
Zn (0.4137, 0.0000, 0.7500)  9 Li 2.63-2.79, 2 Zn 2.78
Zn (0.4137, 0.4137, 0.2500)  9 Li 2.63-2.79, 2 Zn 2.78
Zn (0.5863, 0.0000, 0.2500)  9 Li 2.63-2.79, 2 Zn 2.78
Zn (0.5863, 0.5863, 0.7500)  9 Li 2.63-2.79, 2 Zn 2.78

Output
SG = P6_3/mcm (193)
ΔE_f = -0.07 eV per atom
Energy above the most stable polymorph in this dataset = 45 meV/atom
N(E_F) = 5.8 states/eV/cell
Final energy = -1.891 eV per atom

***

DFT (PBEsol) results for crystalline Li4Zn5 at its relaxed geometry.

Lattice parameters (Å, degrees): 7.4928 7.4928 5.1838 90.00 90.00 120.00
With the nearest neighbours (Å) after each atom.
Fractional positions:
Li (0.0000, 0.0000, 0.0000)  8 Li 2.59-2.70
Li (0.0000, 0.0000, 0.5000)  8 Li 2.59-2.70
Li (0.0000, 0.3163, 0.2500)  5 Zn 2.46-2.61, 2 Li 2.70
Li (0.0000, 0.6837, 0.7500)  5 Zn 2.46-2.61, 2 Li 2.70
Li (0.3163, 0.0000, 0.2500)  5 Zn 2.46-2.61, 2 Li 2.70
Li (0.3163, 0.3163, 0.7500)  5 Zn 2.46-2.61, 2 Li 2.70
Li (0.6837, 0.0000, 0.7500)  5 Zn 2.46-2.61, 2 Li 2.70
Li (0.6837, 0.6837, 0.2500)  5 Zn 2.46-2.61, 2 Li 2.70
Zn (0.0000, 0.3552, 0.7500)  5 Li 2.46-2.61, 4 Zn 2.75
Zn (0.0000, 0.6448, 0.2500)  5 Li 2.46-2.61, 4 Zn 2.75
Zn (0.3333, 0.6667, 0.0000)  8 Zn 2.59-2.75, 6 Li 2.87
Zn (0.3333, 0.6667, 0.5000)  8 Zn 2.59-2.75, 6 Li 2.87
Zn (0.3552, 0.0000, 0.7500)  5 Li 2.46-2.61, 4 Zn 2.75
Zn (0.3552, 0.3552, 0.2500)  5 Li 2.46-2.61, 4 Zn 2.75
Zn (0.6448, 0.0000, 0.2500)  5 Li 2.46-2.61, 4 Zn 2.75
Zn (0.6448, 0.6448, 0.7500)  5 Li 2.46-2.61, 4 Zn 2.75
Zn (0.6667, 0.3333, 0.0000)  8 Zn 2.59-2.75, 6 Li 2.87
Zn (0.6667, 0.3333, 0.5000)  8 Zn 2.59-2.75, 6 Li 2.87

Output
SG = P6_3/mcm (193)
ΔE_f = -0.11 eV per atom
Energy above the most stable polymorph in this dataset = 32 meV/atom
N(E_F) = 5.1 states/eV/cell
Final energy = -1.868 eV per atom

***

DFT (PBEsol) results for crystalline LiZr2Zn at its relaxed geometry.

Lattice parameters (Å, degrees): 9.7437 9.7437 9.7437 18.40 18.40 18.40
With the nearest neighbours (Å) after each atom.
Fractional positions:
Li (0.0000, 0.0000, 0.0000)  3 Zn 2.78
Zr (0.5127, 0.5127, 0.5127)  3 Zn 2.92, 9 Zr 3.04-3.12
Zr (0.7605, 0.7605, 0.7605)  9 Zr 3.04-3.12, 3 Li 3.24
Zn (0.2596, 0.2596, 0.2596)  3 Li 2.78, 3 Zr 2.92

Output
SG = R3m (160)
ΔE_f = 0.08 eV per atom
N(E_F) = 3.8 states/eV/cell
Final energy = -5.350 eV per atom